HoCrAgF6 | PBE with a Hubbard U | relaxed

Summary:
DOS at the Fermi energy   13.16 states/eV/cell
Total energy   -5.6766 eV/atom
Size of the total moment   4.00 μB per formula unit
Calculated volume   16.322 Å³/atom

Cell and atoms, written as CIF:
```
data_HoCrAgF6
_cell_length_a 5.8426
_cell_length_b 5.8426
_cell_length_c 9.9382
_cell_angle_alpha 90.00
_cell_angle_beta 90.00
_cell_angle_gamma 120.00
_space_group_name_H-M_alt 'P -3 1 c'
_space_group_IT_number 163
_space_group_name_Hall '-P 3 2c'
loop_
_atom_site_label
_atom_site_fract_x
_atom_site_fract_y
_atom_site_fract_z
Ho1 0.3333 0.6667 0.2500
Cr1 0.3333 0.6667 0.7500
Ag1 0.0000 0.0000 0.0000
F1 0.0068 0.3683 0.6392
```